A plane-wave DFT calculation with GGA+U was carried out for a relaxed structure of Mg14TiVO16.

Properties
V	9.8	Å³ per atom
DOS(E_F)	4.49	states/eV/f.u.
electronic total energy	-6.233	eV per atom
total moment	0.153	μB per atom

The structure in CIF format:
```
data_Mg14TiVO16
_space_group_name_H-M_alt 'P m m m'
_space_group_IT_number 47
_space_group_name_Hall '-P 2 2'
_cell_length_a 4.274
_cell_length_b 8.571
_cell_length_c 8.591
_cell_angle_alpha 90.00
_cell_angle_beta 90.00
_cell_angle_gamma 90.00
loop_
_atom_site_label
_atom_site_fract_x
_atom_site_fract_y
_atom_site_fract_z
_atom_site_occupancy
Mg1 0.000 0.000 0.000 1
Mg2 0.000 0.000 0.500 1
Mg3 0.000 0.248 0.250 1
Mg4 0.500 0.000 0.250 1
Mg5 0.500 0.248 0.000 1
Mg6 0.500 0.249 0.500 1
Mg7 0.500 0.500 0.251 1
Ti1 0.000 0.500 0.000 1
V1 0.000 0.500 0.500 1
O1 0.000 0.000 0.250 1
O2 0.000 0.244 0.000 1
O3 0.000 0.245 0.500 1
O4 0.000 0.500 0.250 1
O5 0.500 0.000 0.000 1
O6 0.500 0.000 0.500 1
O7 0.500 0.251 0.250 1
O8 0.500 0.500 0.000 1
O9 0.500 0.500 0.500 1
```